[1]
Compound: NaSi2Pt8
Source: Alexandria
Functional: PBE
Structure: relaxed

Cell: 5.345 5.345 8.095 Å, 90.00 90.00 90.00°
Fractional coordinates of all 11 atoms:
Na: 0.000 0.000 0.000
Si: 0.000 0.500 0.500
Si: 0.500 0.000 0.500
Pt: 0.251 0.251 0.303
Pt: 0.251 0.251 0.697
Pt: 0.251 0.749 0.303
Pt: 0.251 0.749 0.697
Pt: 0.749 0.251 0.303
Pt: 0.749 0.251 0.697
Pt: 0.749 0.749 0.303
Pt: 0.749 0.749 0.697

Raw formation energy ... -0.13 eV per atom
Uncorrected energy ... -5.63 eV per atom
Space-group type ... P4/mmm
Mass density ... 11.77 g/cm3

[2]
Compound: NaSi3Pt
Source: Alexandria
Functional: PBE
Structure: relaxed

Cell: 4.828 4.828 4.828 Å, 90.00 90.00 90.00°
Fractional coordinates of all 5 atoms:
Na: 0.000 0.000 0.000
Si: 0.000 0.500 0.500
Si: 0.500 0.000 0.500
Si: 0.500 0.500 0.000
Pt: 0.500 0.500 0.500

Raw formation energy ... 0.46 eV per atom
Uncorrected energy ... -4.26 eV per atom
Space-group type ... Pm-3m
Mass density ... 4.46 g/cm3

[3]
Compound: NaSiPt2
Source: Alexandria
Functional: PBE
Structure: relaxed

Cell: 5.823 5.823 5.823 Å, 103.76 103.76 121.62°
Fractional coordinates of all 8 atoms:
Na: 0.000 0.000 0.000
Na: 0.750 0.250 0.500
Si: 0.250 0.750 0.500
Si: 0.500 0.500 0.000
Pt: 0.199 0.625 0.074
Pt: 0.375 0.449 0.574
Pt: 0.551 0.125 0.926
Pt: 0.875 0.801 0.426

Raw formation energy ... -0.31 eV per atom
Uncorrected energy ... -5.02 eV per atom
Space-group type ... I-42d
Mass density ... 9.98 g/cm3

[4]
Compound: Na2SiPt2
Source: Alexandria
Functional: PBE
Structure: relaxed

Cell: 5.585 5.585 7.271 Å, 97.39 97.39 65.62°
Fractional coordinates of all 10 atoms:
Na: 0.027 0.263 0.138
Na: 0.263 0.027 0.638
Na: 0.737 0.973 0.362
Na: 0.973 0.737 0.862
Si: 0.455 0.545 0.250
Si: 0.545 0.455 0.750
Pt: 0.231 0.507 0.491
Pt: 0.493 0.769 0.009
Pt: 0.507 0.231 0.991
Pt: 0.769 0.493 0.509

Raw formation energy ... -0.55 eV per atom
Uncorrected energy ... -4.58 eV per atom
Space-group type ... C2/c
Mass density ... 7.55 g/cm3

[5]
Compound: NaSi12Pt4
Source: Alexandria
Functional: PBE
Structure: relaxed

Cell: 7.281 7.281 7.281 Å, 109.47 109.47 109.47°
Fractional coordinates of all 17 atoms:
Na: 0.000 0.000 0.000
Si: 0.146 0.503 0.357
Si: 0.146 0.790 0.643
Si: 0.210 0.357 0.854
Si: 0.357 0.146 0.503
Si: 0.357 0.854 0.210
Si: 0.497 0.643 0.854
Si: 0.503 0.357 0.146
Si: 0.643 0.146 0.790
Si: 0.643 0.854 0.497
Si: 0.790 0.643 0.146
Si: 0.854 0.210 0.357
Si: 0.854 0.497 0.643
Pt: 0.000 0.000 0.500
Pt: 0.000 0.500 0.000
Pt: 0.500 0.000 0.000
Pt: 0.500 0.500 0.500

Raw formation energy ... -0.27 eV per atom
Uncorrected energy ... -5.59 eV per atom
Space-group type ... Im-3
Mass density ... 6.37 g/cm3

[6]
Compound: NaSiPt2
Source: Alexandria
Functional: PBE
Structure: relaxed

Cell: 9.256 9.256 9.256 Å, 18.99 18.99 18.99°
Fractional coordinates of all 4 atoms:
Na: 0.000 0.000 0.000
Si: 0.500 0.500 0.500
Pt: 0.105 0.105 0.105
Pt: 0.895 0.895 0.895

Raw formation energy ... -0.21 eV per atom
Uncorrected energy ... -4.92 eV per atom
Space-group type ... R-3m
Mass density ... 9.99 g/cm3

[7]
Compound: NaSiPt
Source: Alexandria
Functional: PBE
Structure: relaxed

Cell: 4.021 4.021 4.606 Å, 90.00 90.00 120.00°
Fractional coordinates of all 3 atoms:
Na: 0.000 0.000 0.000
Si: 0.667 0.333 0.500
Pt: 0.333 0.667 0.500

Raw formation energy ... -0.41 eV per atom
Uncorrected energy ... -4.67 eV per atom
Space-group type ... P-6m2
Mass density ... 6.34 g/cm3

[8]
Compound: NaSi3Pt
Source: Alexandria
Functional: PBE
Structure: relaxed

Cell: 4.120 4.120 5.934 Å, 110.23 110.23 90.11°
Fractional coordinates of all 5 atoms:
Na: 0.000 0.000 0.000
Si: 0.252 0.752 0.505
Si: 0.612 0.612 0.222
Si: 0.752 0.252 0.505
Pt: 0.376 0.376 0.753

Raw formation energy ... -0.31 eV per atom
Uncorrected energy ... -5.04 eV per atom
Space-group type ... Cm
Mass density ... 5.72 g/cm3

Question: The highest raw formation energy belongs to which entry?
Answer: number 2

Question: What is the mass density in the second record?
Answer: 4.46 g/cm3